Entry 1:
TlCd5 | GGA-PBEsol | optimized geometry

## Properties
ΔE_f ... 0.48 eV/f.u.
Spin magnetization ... 0.00 μB per atom
ΔE to the lowest computed polymorph ... 0.052 eV per atom

a b c (Å): 5.7998 5.7998 5.7998
angles (deg): 60.00 60.00 60.00
Last column: nearest neighbours and their distance in Å.
Fractional positions:
Tl 0.0000 0.0000 0.0000  16 Cd 3.40-3.55
Cd 0.1258 0.6247 0.6247  6 Cd 2.89-2.91
Cd 0.2500 0.2500 0.2500  12 Cd 3.40, 4 Tl 3.55
Cd 0.6247 0.1258 0.6247  6 Cd 2.89-2.91
Cd 0.6247 0.6247 0.1258  6 Cd 2.89-2.91
Cd 0.6247 0.6247 0.6247  6 Cd 2.89-2.91



Entry 2:
LaSc3Br | GGA-PBEsol | optimized geometry

## Properties
Spin magnetization ... 0.00 μB per atom
Raw formation energy ... 0.880 eV/atom

a b c (Å): 5.2947 5.2947 5.2947
angles (deg): 90.00 90.00 90.00
Last column: nearest neighbours and their distance in Å.
Fractional positions:
La 0.0000 0.0000 0.0000  6 Sc 2.65
Sc 0.0000 0.0000 0.5000  2 La 2.65
Sc 0.0000 0.5000 0.0000  2 La 2.65
Sc 0.5000 0.0000 0.0000  2 La 2.65
Br 0.5000 0.5000 0.5000  12 Sc 3.74